1.
Ag8Te6Cl: relaxed, GGA-PBE.

Calculated values
Its crystal system is trigonal. The value obtained for the uncorrected formation energy is 0.03 eV per atom.

CIF file:
```
data_Ag8Te6Cl
_chemical_formula_sum 'Ag8 Te6 Cl1'
_cell_length_a 10.3665
_cell_length_b 10.3665
_cell_length_c 4.0635
_cell_angle_alpha 90.00
_cell_angle_beta 90.00
_cell_angle_gamma 120.00
_symmetry_space_group_name_H-M 'P -3'
_symmetry_Int_Tables_number 147
loop_
_symmetry_equiv_pos_as_xyz
'x,y,z'
'-x,-y,-z'
'-y,x-y,z'
'y,-x+y,-z'
'-x+y,-x,z'
'x-y,x,-z'
loop_
_atom_site_label
_atom_site_fract_x
_atom_site_fract_y
_atom_site_fract_z
Ag1 0.1428 0.8345 0.2604
Ag2 0.3333 0.6667 0.2735
Te1 0.0984 0.4562 0.7684
Cl1 0.0000 0.0000 0.5000
```


2.
Tl2ZnPd5Au2: relaxed, GGA-PBE.

Calculated values
Its crystal system is tetragonal. The calculation puts the formation energy at -3.27 kcal/mol of atoms.

CIF file:
```
data_Tl2ZnPd5Au2
_chemical_formula_sum 'Tl4 Zn2 Pd10 Au4'
_cell_length_a 10.9038
_cell_length_b 10.9038
_cell_length_c 3.0409
_cell_angle_alpha 90.00
_cell_angle_beta 90.00
_cell_angle_gamma 90.00
_symmetry_space_group_name_H-M 'P 4/m b m'
_symmetry_Int_Tables_number 127
_symmetry_space_group_name_Hall '-P 4 2ab'
loop_
_atom_site_label
_atom_site_fract_x
_atom_site_fract_y
_atom_site_fract_z
Tl1 0.1621 0.3379 0.0000
Zn1 0.0000 0.0000 0.0000
Pd1 0.0000 0.5000 0.5000
Pd2 0.0029 0.8072 0.5000
Au1 0.1551 0.6551 0.0000
```


3.
TiSb2RhI: relaxed, GGA-PBE.

Calculated values
Its crystal system is tetragonal. Its energy above the most stable polymorph in this dataset is 0 meV/atom. The value obtained for the uncorrected formation energy is 0.63 eV per atom.

CIF file:
```
data_TiSb2RhI
_chemical_formula_sum 'Ti1 Sb2 Rh1 I1'
_cell_length_a 5.0945
_cell_length_b 5.0945
_cell_length_c 5.3999
_cell_angle_alpha 90.00
_cell_angle_beta 90.00
_cell_angle_gamma 90.00
_symmetry_space_group_name_H-M 'P 4/m m m'
_symmetry_Int_Tables_number 123
_symmetry_space_group_name_Hall '-P 4 2'
loop_
_atom_site_label
_atom_site_fract_x
_atom_site_fract_y
_atom_site_fract_z
Ti1 0.0000 0.0000 0.0000
Sb1 0.0000 0.5000 0.5000
Rh1 0.5000 0.5000 0.5000
I1 0.5000 0.5000 0.0000
```


4.
CaZn2Cr: relaxed, GGA-PBE.

Calculated values
Its crystal system is tetragonal. The calculation puts the formation energy at 5.27 kcal/mol of atoms.

CIF file:
```
data_CaZn2Cr
_chemical_formula_sum 'Ca1 Zn2 Cr1'
_cell_length_a 4.5170
_cell_length_b 4.5170
_cell_length_c 3.8408
_cell_angle_alpha 90.00
_cell_angle_beta 90.00
_cell_angle_gamma 90.00
_symmetry_space_group_name_H-M 'P 4/m m m'
_symmetry_Int_Tables_number 123
_symmetry_space_group_name_Hall '-P 4 2'
loop_
_atom_site_label
_atom_site_fract_x
_atom_site_fract_y
_atom_site_fract_z
Ca1 0.0000 0.0000 0.0000
Zn1 0.0000 0.5000 0.5000
Cr1 0.5000 0.5000 0.0000
```


5.
KMgSiW: relaxed, GGA-PBE.

Calculated values
Its crystal system is monoclinic. Its energy above the most stable polymorph in this dataset is 258 meV/atom. The value obtained for the uncorrected formation energy is 0.61 eV per atom.

CIF file:
```
data_KMgSiW
_chemical_formula_sum 'K2 Mg2 Si2 W2'
_cell_length_a 4.7239
_cell_length_b 3.4049
_cell_length_c 10.3377
_cell_angle_alpha 90.00
_cell_angle_beta 91.30
_cell_angle_gamma 90.00
_symmetry_space_group_name_H-M 'C 1 m 1'
_symmetry_Int_Tables_number 8
loop_
_symmetry_equiv_pos_as_xyz
'x,y,z'
'x,-y,z'
'x+1/2,y+1/2,z'
'x+1/2,-y+1/2,z'
loop_
_atom_site_label
_atom_site_fract_x
_atom_site_fract_y
_atom_site_fract_z
K1 0.0000 0.0000 0.0000
Mg1 0.4246 0.0000 0.6863
Si1 0.0465 0.0000 0.4656
W1 0.0130 0.5000 0.2879
```


6.
SmYTmSc: relaxed, GGA-PBE.

Calculated values
Its crystal system is cubic. The calculation puts the formation energy at 2.51 kcal/mol of atoms. Its energy above the most stable polymorph in this dataset is 6 meV/atom.

CIF file:
```
data_SmYTmSc
_chemical_formula_sum 'Sm4 Y4 Tm4 Sc4'
_cell_length_a 7.8497
_cell_length_b 7.8497
_cell_length_c 7.8497
_cell_angle_alpha 90.00
_cell_angle_beta 90.00
_cell_angle_gamma 90.00
_symmetry_space_group_name_H-M 'F -4 3 m'
_symmetry_Int_Tables_number 216
_symmetry_space_group_name_Hall 'F -4 2 3'
loop_
_atom_site_label
_atom_site_fract_x
_atom_site_fract_y
_atom_site_fract_z
Sm1 0.0000 0.0000 0.0000
Y1 0.0000 0.0000 0.5000
Tm1 0.2500 0.2500 0.7500
Sc1 0.2500 0.2500 0.2500
```


| no. | calculated total energy (eV per atom) | M_tot (μB/f.u.) |
| --- | --- | --- |
| 1 | -2.875 | 0.0 |
| 2 | -3.994 | 0.0 |
| 3 | -4.375 | 0.0 |
| 4 | -3.315 | 3.6 |
| 5 | -4.656 | 0.0 |
| 6 | -5.388 | 0.0 |